Entry 1:
The following is a DFT calculation (GGA-PBE) of crystalline Sr2LiWN4 at its relaxed geometry. Values from VASP.

```
&SYSTEM
  ibrav = 0, nat = 16, ntyp = 4
/
ATOMIC_SPECIES
Sr 87.62 Sr.upf
N 14.01 N.upf
Li 6.94 Li.upf
W 183.84 W.upf
CELL_PARAMETERS angstrom
-4.6173 0.9965 3.5100
-3.7625 -0.8162 -4.7175
-0.3832 -7.3020 1.5690
ATOMIC_POSITIONS crystal
Sr 0.0011 0.7709 0.2524
Sr 0.0011 0.7709 0.7476
Sr 0.5011 0.2291 0.2476
Sr 0.5011 0.2291 0.7524
N 0.7503 0.9811 0.5000
N 0.2516 0.9836 0.5000
N 0.2503 0.0189 0.0000
N 0.4980 0.6375 0.7202
N 0.9980 0.3625 0.2202
N 0.9980 0.3625 0.7798
N 0.4980 0.6375 0.2798
N 0.7516 0.0164 0.0000
Li 0.5001 0.7867 0.0000
Li 0.0001 0.2133 0.5000
W 0.9999 0.2084 0.0000
W 0.4999 0.7916 0.5000
```

Summary:
ΔE_f (raw) in eV per atom: -0.7009
E_tot in eV per atom: -7.14
Spin magnetization in μB per formula unit: 0.99

Entry 2:
The following is a DFT calculation (GGA-PBE) of crystalline SrLiWN3 at its relaxed geometry. Values from VASP.

```
&SYSTEM
  ibrav = 0, nat = 12, ntyp = 4
/
ATOMIC_SPECIES
Li 6.94 Li.upf
N 14.01 N.upf
Sr 87.62 Sr.upf
W 183.84 W.upf
CELL_PARAMETERS angstrom
4.9409 -1.0491 0.0455
1.3885 4.8565 0.0455
1.7678 1.0634 7.1818
ATOMIC_POSITIONS crystal
Li 0.7118 0.2882 0.5000
Li 0.2882 0.7118 0.5000
N 0.2755 0.2755 0.5479
N 0.8371 0.2521 0.1943
N 0.7245 0.7245 0.4521
N 0.7479 0.1629 0.8057
N 0.2521 0.8371 0.1943
N 0.1629 0.7479 0.8057
Sr 0.6734 0.6734 0.7931
Sr 0.3266 0.3266 0.2069
W 0.1180 0.1180 0.7844
W 0.8820 0.8820 0.2156
```

Summary:
ΔE_f (raw) in eV per atom: -0.3763
E_tot in eV per atom: -7.30
Spin magnetization in μB per formula unit: 0.00

Entry 3:
The following is a DFT calculation (GGA-PBE) of crystalline SrLiY2N at its relaxed geometry. Values from VASP.

```
&SYSTEM
  ibrav = 0, nat = 5, ntyp = 4
/
ATOMIC_SPECIES
Li 6.94 Li.upf
Y 88.91 Y.upf
N 14.01 N.upf
Sr 87.62 Sr.upf
CELL_PARAMETERS angstrom
-3.5904 -1.0834 2.9496
-1.8433 -2.9010 -3.3092
3.0398 -4.3357 2.1077
ATOMIC_POSITIONS crystal
Li 0.5000 0.5000 0.5000
Y 0.0000 0.5000 0.0000
Y 0.5000 0.0000 0.0000
N 0.0000 0.0000 0.0000
Sr 0.0000 0.0000 0.5000
```

Summary:
ΔE_f (raw) in eV per atom: -0.4622
E_tot in eV per atom: -5.43
Spin magnetization in μB per formula unit: 0.00

Entry 4:
The following is a DFT calculation (GGA-PBE) of crystalline Sr2LiZnN at its relaxed geometry. Values from VASP.

```
&SYSTEM
  ibrav = 0, nat = 5, ntyp = 4
/
ATOMIC_SPECIES
Sr 87.62 Sr.upf
Li 6.94 Li.upf
Zn 65.41 Zn.upf
N 14.01 N.upf
CELL_PARAMETERS angstrom
5.3156 0.0000 0.0000
0.0000 5.3156 0.0000
0.0000 0.0000 4.1502
ATOMIC_POSITIONS crystal
Sr 0.5000 0.0000 0.0000
Sr 0.0000 0.5000 0.0000
Li 0.0000 0.0000 0.5000
Zn 0.5000 0.5000 0.5000
N 0.0000 0.0000 0.0000
```

Summary:
ΔE_f (raw) in eV per atom: -0.2726
E_tot in eV per atom: -3.25
Excess energy over the best structure of this formula in the dataset in eV per atom: 0.000
Spin magnetization in μB per formula unit: 0.00